[1]
## LaTlPb2I8 (PBE-GGA)

Data for a geometry-optimized LaTlPb2I8 structure.

Volume = 48.0 Å³/atom
Uncorrected formation energy = -906.4 meV per atom

```
data_LaTlPb2I8
_chemical_formula_sum 'La1 Tl1 Pb2 I8'
_symmetry_space_group_name_H-M 'P -1'
_symmetry_Int_Tables_number 2
_cell_length_a 7.446
_cell_length_b 7.926
_cell_length_c 9.760
_cell_angle_alpha 89.99
_cell_angle_beta 89.96
_cell_angle_gamma 89.39
loop_
_symmetry_equiv_pos_as_xyz
'x,y,z'
'-x,-y,-z'
loop_
_atom_site_label
_atom_site_type_symbol
_atom_site_fract_x
_atom_site_fract_y
_atom_site_fract_z
La1 La 0.000 0.000 0.000
Tl1 Tl 0.000 0.000 0.500
Pb1 Pb 0.500 0.500 0.254
I1 I 0.245 0.333 0.000
I2 I 0.251 0.843 0.230
I3 I 0.251 0.843 0.770
I4 I 0.264 0.361 0.500
```

[2]
## LaTlPbI6 (PBE-GGA)

Data for a geometry-optimized LaTlPbI6 structure.

Volume = 49.7 Å³/atom
Uncorrected formation energy = -1037.7 meV per atom

```
data_LaTlPbI6
_chemical_formula_sum 'La2 Tl2 Pb2 I12'
_symmetry_space_group_name_H-M 'P -3 1 c'
_symmetry_Int_Tables_number 163
_symmetry_space_group_name_Hall '-P 3 2c'
_cell_length_a 8.2279
_cell_length_b 8.2279
_cell_length_c 15.2534
_cell_angle_alpha 90.00
_cell_angle_beta 90.00
_cell_angle_gamma 120.00
loop_
_atom_site_label
_atom_site_type_symbol
_atom_site_fract_x
_atom_site_fract_y
_atom_site_fract_z
La1 La 0.3333 0.6667 0.2500
Tl1 Tl 0.0000 0.0000 0.0000
Pb1 Pb 0.3333 0.6667 0.7500
I1 I 0.0064 0.3616 0.1297
```

[3]
## LaPd2I (PBE-GGA)

Data for a geometry-optimized LaPd2I structure.

Volume = 24.6 Å³/atom
Uncorrected formation energy = -444.1 meV per atom
Relative energy among the computed polymorphs = 0.000 eV per atom

```
data_LaPd2I
_chemical_formula_sum 'La4 Pd8 I4'
_symmetry_space_group_name_H-M 'I -4 2 d'
_symmetry_Int_Tables_number 122
_symmetry_space_group_name_Hall 'I -4 2bw'
_cell_length_a 7.983
_cell_length_b 7.983
_cell_length_c 6.166
_cell_angle_alpha 90.00
_cell_angle_beta 90.00
_cell_angle_gamma 90.00
loop_
_atom_site_label
_atom_site_type_symbol
_atom_site_fract_x
_atom_site_fract_y
_atom_site_fract_z
La1 La 0.000 0.000 0.000
Pd1 Pd 0.239 0.750 0.625
I1 I 0.000 0.000 0.500
```

[4]
## La3PdI2 (PBE-GGA)

Data for a geometry-optimized La3PdI2 structure.

Volume = 33.8 Å³/atom
Uncorrected formation energy = -959.6 meV per atom

```
data_La3PdI2
_chemical_formula_sum 'La12 Pd4 I8'
_symmetry_space_group_name_H-M 'C 1 2/m 1'
_symmetry_Int_Tables_number 12
_cell_length_a 7.759
_cell_length_b 13.385
_cell_length_c 8.232
_cell_angle_alpha 90.00
_cell_angle_beta 108.29
_cell_angle_gamma 90.00
loop_
_symmetry_equiv_pos_as_xyz
'x,y,z'
'-x,-y,-z'
'-x,y,-z'
'x,-y,z'
'x+1/2,y+1/2,z'
'-x+1/2,-y+1/2,-z'
'-x+1/2,y+1/2,-z'
'x+1/2,-y+1/2,z'
loop_
_atom_site_label
_atom_site_type_symbol
_atom_site_fract_x
_atom_site_fract_y
_atom_site_fract_z
La1 La 0.203 0.000 0.202
La2 La 0.247 0.183 0.791
Pd1 Pd 0.000 0.168 0.000
I1 I 0.000 0.000 0.500
I2 I 0.000 0.346 0.500
I3 I 0.000 0.500 0.000
```

[5]
## LaPd3I (PBE-GGA)

Data for a geometry-optimized LaPd3I structure.

Volume = 29.2 Å³/atom
Uncorrected formation energy = 422.7 meV per atom
Relative energy among the computed polymorphs = 0.383 eV per atom

```
data_LaPd3I
_chemical_formula_sum 'La1 Pd3 I1'
_symmetry_space_group_name_H-M 'P m -3 m'
_symmetry_Int_Tables_number 221
_symmetry_space_group_name_Hall '-P 4 2 3'
_cell_length_a 5.264
_cell_length_b 5.264
_cell_length_c 5.264
_cell_angle_alpha 90.00
_cell_angle_beta 90.00
_cell_angle_gamma 90.00
loop_
_atom_site_label
_atom_site_type_symbol
_atom_site_fract_x
_atom_site_fract_y
_atom_site_fract_z
La1 La 0.000 0.000 0.000
Pd1 Pd 0.000 0.000 0.500
I1 I 0.500 0.500 0.500
```

[6]
## La2PdI2 (PBE-GGA)

Data for a geometry-optimized La2PdI2 structure.

Volume = 38.1 Å³/atom
Uncorrected formation energy = -1155.7 meV per atom
Relative energy among the computed polymorphs = 0.000 eV per atom

```
data_La2PdI2
_chemical_formula_sum 'La6 Pd3 I6'
_symmetry_space_group_name_H-M 'R -3 m'
_symmetry_Int_Tables_number 166
_symmetry_space_group_name_Hall '-R 3 2"'
_cell_length_a 4.3084
_cell_length_b 4.3084
_cell_length_c 35.5664
_cell_angle_alpha 90.00
_cell_angle_beta 90.00
_cell_angle_gamma 120.00
loop_
_atom_site_label
_atom_site_type_symbol
_atom_site_fract_x
_atom_site_fract_y
_atom_site_fract_z
La1 La 0.0000 0.0000 0.1188
Pd1 Pd 0.0000 0.0000 0.5000
I1 I 0.0000 0.0000 0.2770
```

[7]
## LaPdI2 (PBE-GGA)

Data for a geometry-optimized LaPdI2 structure.

Volume = 28.3 Å³/atom
Uncorrected formation energy = -653.3 meV per atom
Relative energy among the computed polymorphs = 0.000 eV per atom

```
data_LaPdI2
_chemical_formula_sum 'La4 Pd4 I8'
_symmetry_space_group_name_H-M 'F m -3 m'
_symmetry_Int_Tables_number 225
_symmetry_space_group_name_Hall '-F 4 2 3'
_cell_length_a 7.683
_cell_length_b 7.683
_cell_length_c 7.683
_cell_angle_alpha 90.00
_cell_angle_beta 90.00
_cell_angle_gamma 90.00
loop_
_atom_site_label
_atom_site_type_symbol
_atom_site_fract_x
_atom_site_fract_y
_atom_site_fract_z
La1 La 0.000 0.000 0.000
Pd1 Pd 0.000 0.000 0.500
I1 I 0.250 0.250 0.250
```

[8]
## La2PdI (PBE-GGA)

Data for a geometry-optimized La2PdI structure.

Volume = 28.8 Å³/atom
Uncorrected formation energy = -802.4 meV per atom
Relative energy among the computed polymorphs = 0.146 eV per atom

```
data_La2PdI
_chemical_formula_sum 'La2 Pd1 I1'
_symmetry_space_group_name_H-M 'P 4/m m m'
_symmetry_Int_Tables_number 123
_symmetry_space_group_name_Hall '-P 4 2'
_cell_length_a 3.687
_cell_length_b 3.687
_cell_length_c 8.471
_cell_angle_alpha 90.00
_cell_angle_beta 90.00
_cell_angle_gamma 90.00
loop_
_atom_site_label
_atom_site_type_symbol
_atom_site_fract_x
_atom_site_fract_y
_atom_site_fract_z
La1 La 0.000 0.000 0.214
Pd1 Pd 0.500 0.500 0.000
I1 I 0.500 0.500 0.500
```

[9]
## LaPd3I (PBE-GGA)

Data for a geometry-optimized LaPd3I structure.

Volume = 25.8 Å³/atom
Uncorrected formation energy = 39.5 meV per atom
Relative energy among the computed polymorphs = 0.000 eV per atom

```
data_LaPd3I
_chemical_formula_sum 'La1 Pd3 I1'
_symmetry_space_group_name_H-M 'P m -3 m'
_symmetry_Int_Tables_number 221
_symmetry_space_group_name_Hall '-P 4 2 3'
_cell_length_a 5.050
_cell_length_b 5.050
_cell_length_c 5.050
_cell_angle_alpha 90.00
_cell_angle_beta 90.00
_cell_angle_gamma 90.00
loop_
_atom_site_label
_atom_site_type_symbol
_atom_site_fract_x
_atom_site_fract_y
_atom_site_fract_z
La1 La 0.000 0.000 0.000
Pd1 Pd 0.000 0.500 0.500
I1 I 0.500 0.500 0.500
```

[10]
## La2PdI (PBE-GGA)

Data for a geometry-optimized La2PdI structure.

Volume = 28.3 Å³/atom
Uncorrected formation energy = -659.3 meV per atom
Relative energy among the computed polymorphs = 0.289 eV per atom

```
data_La2PdI
_chemical_formula_sum 'La8 Pd4 I4'
_symmetry_space_group_name_H-M 'F m -3 m'
_symmetry_Int_Tables_number 225
_symmetry_space_group_name_Hall '-F 4 2 3'
_cell_length_a 7.678
_cell_length_b 7.678
_cell_length_c 7.678
_cell_angle_alpha 90.00
_cell_angle_beta 90.00
_cell_angle_gamma 90.00
loop_
_atom_site_label
_atom_site_type_symbol
_atom_site_fract_x
_atom_site_fract_y
_atom_site_fract_z
La1 La 0.250 0.250 0.250
Pd1 Pd 0.000 0.000 0.000
I1 I 0.000 0.000 0.500
```

[11]
## LaPdI3 (PBE-GGA)

Data for a geometry-optimized LaPdI3 structure.

Volume = 48.3 Å³/atom
Uncorrected formation energy = -473.6 meV per atom

```
data_LaPdI3
_chemical_formula_sum 'La1 Pd1 I3'
_symmetry_space_group_name_H-M 'P m -3 m'
_symmetry_Int_Tables_number 221
_symmetry_space_group_name_Hall '-P 4 2 3'
_cell_length_a 6.227
_cell_length_b 6.227
_cell_length_c 6.227
_cell_angle_alpha 90.00
_cell_angle_beta 90.00
_cell_angle_gamma 90.00
loop_
_atom_site_label
_atom_site_type_symbol
_atom_site_fract_x
_atom_site_fract_y
_atom_site_fract_z
La1 La 0.000 0.000 0.000
Pd1 Pd 0.500 0.500 0.500
I1 I 0.000 0.000 0.500
```

[12]
## La3PdI3 (PBE-GGA)

Data for a geometry-optimized La3PdI3 structure.

Volume = 37.3 Å³/atom
Uncorrected formation energy = -1144.8 meV per atom

```
data_La3PdI3
_chemical_formula_sum 'La6 Pd2 I6'
_symmetry_space_group_name_H-M 'P 1 21/m 1'
_symmetry_Int_Tables_number 11
_cell_length_a 9.557
_cell_length_b 4.224
_cell_length_c 12.936
_cell_angle_alpha 90.00
_cell_angle_beta 90.26
_cell_angle_gamma 90.00
loop_
_symmetry_equiv_pos_as_xyz
'x,y,z'
'-x,-y,-z'
'-x,y+1/2,-z'
'x,-y+1/2,z'
loop_
_atom_site_label
_atom_site_type_symbol
_atom_site_fract_x
_atom_site_fract_y
_atom_site_fract_z
La1 La 0.089 0.250 0.384
La2 La 0.119 0.250 0.862
La3 La 0.326 0.750 0.626
Pd1 Pd 0.121 0.250 0.628
I1 I 0.146 0.250 0.120
I2 I 0.381 0.750 0.877
I3 I 0.384 0.750 0.369
```

[13]
## LaPdI2 (PBE-GGA)

Data for a geometry-optimized LaPdI2 structure.

Volume = 35.4 Å³/atom
Uncorrected formation energy = -237.7 meV per atom
Relative energy among the computed polymorphs = 0.416 eV per atom

```
data_LaPdI2
_chemical_formula_sum 'La3 Pd3 I6'
_symmetry_space_group_name_H-M 'R -3 m'
_symmetry_Int_Tables_number 166
_symmetry_space_group_name_Hall '-R 3 2"'
_cell_length_a 4.1850
_cell_length_b 4.1850
_cell_length_c 27.9891
_cell_angle_alpha 90.00
_cell_angle_beta 90.00
_cell_angle_gamma 120.00
loop_
_atom_site_label
_atom_site_type_symbol
_atom_site_fract_x
_atom_site_fract_y
_atom_site_fract_z
La1 La 0.0000 0.0000 0.0000
Pd1 Pd 0.0000 0.0000 0.5000
I1 I 0.0000 0.0000 0.1099
```

[14]
## LaPdI2 (PBE-GGA)

Data for a geometry-optimized LaPdI2 structure.

Volume = 38.1 Å³/atom
Uncorrected formation energy = -486.6 meV per atom
Relative energy among the computed polymorphs = 0.167 eV per atom

```
data_LaPdI2
_chemical_formula_sum 'La4 Pd4 I8'
_symmetry_space_group_name_H-M 'I -4 2 d'
_symmetry_Int_Tables_number 122
_symmetry_space_group_name_Hall 'I -4 2bw'
_cell_length_a 7.046
_cell_length_b 7.046
_cell_length_c 12.293
_cell_angle_alpha 90.00
_cell_angle_beta 90.00
_cell_angle_gamma 90.00
loop_
_atom_site_label
_atom_site_type_symbol
_atom_site_fract_x
_atom_site_fract_y
_atom_site_fract_z
La1 La 0.000 0.000 0.000
Pd1 Pd 0.000 0.000 0.500
I1 I 0.199 0.250 0.625
```

[15]
## La2PdI2 (PBE-GGA)

Data for a geometry-optimized La2PdI2 structure.

Volume = 32.7 Å³/atom
Uncorrected formation energy = -847.9 meV per atom
Relative energy among the computed polymorphs = 0.308 eV per atom

```
data_La2PdI2
_chemical_formula_sum 'La4 Pd2 I4'
_symmetry_space_group_name_H-M 'P 4/m b m'
_symmetry_Int_Tables_number 127
_symmetry_space_group_name_Hall '-P 4 2ab'
_cell_length_a 7.909
_cell_length_b 7.909
_cell_length_c 5.222
_cell_angle_alpha 90.00
_cell_angle_beta 90.00
_cell_angle_gamma 90.00
loop_
_atom_site_label
_atom_site_type_symbol
_atom_site_fract_x
_atom_site_fract_y
_atom_site_fract_z
La1 La 0.169 0.331 0.000
Pd1 Pd 0.000 0.000 0.000
I1 I 0.158 0.658 0.500
```

[16]
## LaPdI (PBE-GGA)

Data for a geometry-optimized LaPdI structure.

Volume = 34.8 Å³/atom
Uncorrected formation energy = -1140.1 meV per atom

```
data_LaPdI
_chemical_formula_sum 'La4 Pd4 I4'
_symmetry_space_group_name_H-M 'C 1 2/m 1'
_symmetry_Int_Tables_number 12
_cell_length_a 7.763
_cell_length_b 4.481
_cell_length_c 12.284
_cell_angle_alpha 90.00
_cell_angle_beta 102.35
_cell_angle_gamma 90.00
loop_
_symmetry_equiv_pos_as_xyz
'x,y,z'
'-x,-y,-z'
'-x,y,-z'
'x,-y,z'
'x+1/2,y+1/2,z'
'-x+1/2,-y+1/2,-z'
'-x+1/2,y+1/2,-z'
'x+1/2,-y+1/2,z'
loop_
_atom_site_label
_atom_site_type_symbol
_atom_site_fract_x
_atom_site_fract_y
_atom_site_fract_z
La1 La 0.054 0.000 0.160
Pd1 Pd 0.156 0.500 0.968
I1 I 0.219 0.000 0.662
```

[17]
## LaPdI6 (PBE-GGA)

Data for a geometry-optimized LaPdI6 structure.

Volume = 40.2 Å³/atom
Uncorrected formation energy = -685.5 meV per atom

```
data_LaPdI6
_chemical_formula_sum 'La1 Pd1 I6'
_symmetry_space_group_name_H-M 'P -1'
_symmetry_Int_Tables_number 2
_cell_length_a 7.228
_cell_length_b 7.285
_cell_length_c 7.914
_cell_angle_alpha 62.84
_cell_angle_beta 66.23
_cell_angle_gamma 63.63
loop_
_symmetry_equiv_pos_as_xyz
'x,y,z'
'-x,-y,-z'
loop_
_atom_site_label
_atom_site_type_symbol
_atom_site_fract_x
_atom_site_fract_y
_atom_site_fract_z
La1 La 0.000 0.000 0.000
Pd1 Pd 0.500 0.500 0.500
I1 I 0.103 0.729 0.741
I2 I 0.279 0.552 0.264
I3 I 0.439 0.108 0.730
```

[18]
## La2PdI (PBE-GGA)

Data for a geometry-optimized La2PdI structure.

Volume = 33.4 Å³/atom
Uncorrected formation energy = -948.7 meV per atom
Relative energy among the computed polymorphs = 0.000 eV per atom

```
data_La2PdI
_chemical_formula_sum 'La6 Pd3 I3'
_symmetry_space_group_name_H-M 'R -3 m'
_symmetry_Int_Tables_number 166
_symmetry_space_group_name_Hall '-R 3 2"'
_cell_length_a 4.3299
_cell_length_b 4.3299
_cell_length_c 24.7154
_cell_angle_alpha 90.00
_cell_angle_beta 90.00
_cell_angle_gamma 120.00
loop_
_atom_site_label
_atom_site_type_symbol
_atom_site_fract_x
_atom_site_fract_y
_atom_site_fract_z
La1 La 0.0000 0.0000 0.2305
Pd1 Pd 0.0000 0.0000 0.5000
I1 I 0.0000 0.0000 0.0000
```

[19]
## La2PdI (PBE-GGA)

Data for a geometry-optimized La2PdI structure.

Volume = 33.0 Å³/atom
Uncorrected formation energy = -934.5 meV per atom
Relative energy among the computed polymorphs = 0.014 eV per atom

```
data_La2PdI
_chemical_formula_sum 'La2 Pd1 I1'
_symmetry_space_group_name_H-M 'P -3 m 1'
_symmetry_Int_Tables_number 164
_symmetry_space_group_name_Hall '-P 3 2"'
_cell_length_a 4.2930
_cell_length_b 4.2930
_cell_length_c 8.2725
_cell_angle_alpha 90.00
_cell_angle_beta 90.00
_cell_angle_gamma 120.00
loop_
_atom_site_label
_atom_site_type_symbol
_atom_site_fract_x
_atom_site_fract_y
_atom_site_fract_z
La1 La 0.3333 0.6667 0.3048
Pd1 Pd 0.0000 0.0000 0.5000
I1 I 0.0000 0.0000 0.0000
```

[20]
## LaPdI (PBE-GGA)

Data for a geometry-optimized LaPdI structure.

Volume = 31.7 Å³/atom
Uncorrected formation energy = -867.0 meV per atom

```
data_LaPdI
_chemical_formula_sum 'La16 Pd16 I16'
_symmetry_space_group_name_H-M 'F d d 2'
_symmetry_Int_Tables_number 43
_symmetry_space_group_name_Hall 'F 2 -2d'
_cell_length_a 13.295
_cell_length_b 13.813
_cell_length_c 8.296
_cell_angle_alpha 90.00
_cell_angle_beta 90.00
_cell_angle_gamma 90.00
loop_
_atom_site_label
_atom_site_type_symbol
_atom_site_fract_x
_atom_site_fract_y
_atom_site_fract_z
La1 La 0.031 0.309 0.000
Pd1 Pd 0.106 0.009 0.459
I1 I 0.113 0.094 0.106
```